SrSi3Mo: optimized geometry, PBE.

```
5
Lattice="4.794 0.000 0.000 0.000 4.794 0.000 0.000 0.000 4.794" Properties=species:S:1:pos:R:3 pbc="T T T"
Sr 0.000 0.000 0.000
Si 0.000 2.397 2.397
Si 2.397 0.000 2.397
Si 2.397 2.397 0.000
Mo 2.397 2.397 2.397
```

Summary:
magnetization: 0.00 μB/f.u.
raw formation energy: -0.02 eV/atom
polymorph energy (0 for the lowest one): 0 meV per atom
uncorrected energy: -28.87 eV/cell